No. 1
The following is a DFT calculation (GGA-PBE) of crystalline RbHfZrSe3 at its relaxed geometry.

Summary:
- uncorrected energy (eV per cell) = -74.3
- volume (A^3/atom) = 27.97

POSCAR file:
```
RbHfZrSe3
1.0
2.030 -8.044 0.000
2.030 8.044 0.000
0.000 0.000 10.275
Rb Hf Zr Se
2 2 2 6
Cartesian
2.030 4.102 7.707
2.030 -4.102 2.569
2.030 0.320 2.569
2.030 -0.320 7.707
0.000 0.000 0.000
0.000 0.000 5.138
2.030 6.742 2.569
2.030 1.881 0.510
2.030 1.881 4.628
2.030 -1.881 5.648
2.030 -1.881 9.765
2.030 -6.742 7.707
```

No. 2
The following is a DFT calculation (GGA-PBE) of crystalline YAgPO at its relaxed geometry.

Summary:
- volume (A^3/atom) = 17.21
- excess energy over the best structure of this formula in the dataset (meV per atom) = 0

POSCAR file:
```
YAgPO
1.0
3.972 0.000 0.000
0.000 3.972 0.000
0.000 0.000 8.728
Y Ag P O
2 2 2 2
Cartesian
0.993 0.993 1.082
2.979 2.979 7.645
0.993 2.979 4.364
2.979 0.993 4.364
0.993 0.993 6.017
2.979 2.979 2.711
0.993 2.979 0.000
2.979 0.993 0.000
```

No. 3
The following is a DFT calculation (GGA-PBE) of crystalline LuTa2Al at its relaxed geometry.

Summary:
- uncorrected energy (eV per cell) = -31.6
- volume (A^3/atom) = 19.40

POSCAR file:
```
LuTa2Al
1.0
0.000 3.386 3.386
3.386 0.000 3.386
3.386 3.386 0.000
Lu Ta Al
1 2 1
Cartesian
0.000 0.000 0.000
1.693 1.693 1.693
3.386 3.386 3.386
5.078 5.078 5.078
```

No. 4
The following is a DFT calculation (GGA-PBE) of crystalline KLiTm at its relaxed geometry.

Summary:
- volume (A^3/atom) = 41.49
- excess energy over the best structure of this formula in the dataset (meV per atom) = 0

POSCAR file:
```
KLiTm
1.0
0.000 3.963 3.963
3.963 0.000 3.963
3.963 3.963 0.000
K Li Tm
1 1 1
Cartesian
0.000 0.000 0.000
3.963 3.963 3.963
1.981 1.981 1.981
```

No. 5
The following is a DFT calculation (GGA-PBE) of crystalline LuBeSb at its relaxed geometry.

Summary:
- volume (A^3/atom) = 25.68
- excess energy over the best structure of this formula in the dataset (meV per atom) = 264

POSCAR file:
```
LuBeSb
1.0
0.000 3.377 3.377
3.377 0.000 3.377
3.377 3.377 0.000
Lu Be Sb
1 1 1
Cartesian
0.000 0.000 0.000
5.066 5.066 5.066
1.689 1.689 1.689
```

No. 6
The following is a DFT calculation (GGA-PBE) of crystalline ThUPd at its relaxed geometry.

Summary:
- volume (A^3/atom) = 26.69
- E_form (eV/atom) = 0.26
- excess energy over the best structure of this formula in the dataset (meV per atom) = 0

POSCAR file:
```
ThUPd
1.0
0.000 3.421 3.421
3.421 0.000 3.421
3.421 3.421 0.000
Th U Pd
1 1 1
Cartesian
0.000 0.000 0.000
3.421 3.421 3.421
1.711 1.711 1.711
```

No. 7
The following is a DFT calculation (GGA-PBE) of crystalline HfRe2Ni at its relaxed geometry.

Summary:
- volume (A^3/atom) = 15.20
- E_form (eV/atom) = -0.09

POSCAR file:
```
HfRe2Ni
1.0
0.000 3.121 3.121
3.121 0.000 3.121
3.121 3.121 0.000
Hf Re Ni
1 2 1
Cartesian
0.000 0.000 0.000
1.560 1.560 1.560
3.121 3.121 3.121
4.681 4.681 4.681
```

No. 8
The following is a DFT calculation (GGA-PBE) of crystalline LuCdCuSe3 at its relaxed geometry.

Summary:
- volume (A^3/atom) = 22.60
- excess energy over the best structure of this formula in the dataset (meV per atom) = 0

POSCAR file:
```
LuCdCuSe3
1.0
7.653 0.000 0.000
0.000 3.910 0.000
-1.927 0.000 9.060
Lu Cd Cu Se
2 2 2 6
Cartesian
1.114 0.978 1.545
4.613 2.933 7.515
0.731 2.933 6.452
4.996 0.978 2.608
2.403 2.933 3.804
3.324 0.978 5.256
-0.984 0.978 7.731
0.891 0.978 4.324
3.059 2.933 1.432
2.668 0.978 7.628
4.836 2.933 4.736
6.711 2.933 1.329
```